# 1
Density functional theory data (PBE) for an optimized crystal structure of Be2AgHg2.

Cell lengths 6.7943, 6.7943, 3.4565 Å; angles 90.00, 90.00, 90.00 degrees
With the nearest neighbours (Å) after each atom.
Space group P4/mbm (No. 127)
Unique sites:
Be (0.1237, 0.3763, 0.0000) [4 per cell]  1 Be 2.38, 2 Hg 2.61
Ag (0.0000, 0.0000, 0.0000) [2 per cell]  4 Be 2.69
Hg (0.1733, 0.6733, 0.5000) [4 per cell]  6 Be 2.61-2.68

Summary:
Calculated volume (Å³ per atom): 15.96
Total magnetization (μB per atom): 0.000
Energy relative to the elements (meV per atom): 368
N(E_F) (states/eV/cell): 3.50

***

# 2
Density functional theory data (PBE) for an optimized crystal structure of LiYErHg.

Cell lengths 7.3626, 7.3626, 7.3626 Å; angles 90.00, 90.00, 90.00 degrees
With the nearest neighbours (Å) after each atom.
Space group F-43m (No. 216)
Unique sites:
Li (0.0000, 0.0000, 0.0000) [4 per cell]  4 Er 3.19, 4 Y 3.19
Y (0.2500, 0.2500, 0.7500) [4 per cell]  4 Li 3.19, 4 Hg 3.19
Er (0.2500, 0.2500, 0.2500) [4 per cell]  4 Hg 3.19, 4 Li 3.19
Hg (0.0000, 0.0000, 0.5000) [4 per cell]  4 Y 3.19, 4 Er 3.19

Summary:
Calculated volume (Å³ per atom): 24.94
Total magnetization (μB per atom): 0.000
Energy relative to the elements (meV per atom): -229
N(E_F) (states/eV/cell): 18.37

***

# 3
Density functional theory data (PBE) for an optimized crystal structure of Nd12Ni5Hg.

Cell lengths 9.6030, 9.9695, 10.2133 Å; angles 90.00, 90.00, 90.00 degrees
With the nearest neighbours (Å) after each atom.
Space group Immm (No. 71)
Unique sites:
Nd (0.0000, 0.1893, 0.2098) [8 per cell]  2 Ni 2.78-2.86
Nd (0.1949, 0.5000, 0.1758) [8 per cell]  3 Ni 2.77-2.91
Nd (0.2026, 0.3209, 0.5000) [8 per cell]  2 Ni 2.93
Ni (0.0000, 0.0000, 0.0000) [2 per cell]  4 Nd 2.86
Ni (0.0000, 0.3672, 0.0000) [4 per cell]  1 Ni 2.65, 6 Nd 2.78-2.91
Ni (0.0000, 0.5000, 0.3758) [4 per cell]  1 Ni 2.54, 2 Nd 2.77
Hg (0.0000, 0.0000, 0.5000) [2 per cell]  12 Nd 3.44-3.74

Summary:
Calculated volume (Å³ per atom): 27.16
Total magnetization (μB per atom): 0.000
Energy relative to the elements (meV per atom): -242
N(E_F) (states/eV/cell): 31.73

***

# 4
Density functional theory data (PBE) for an optimized crystal structure of TbSn4Rh2.

Cell lengths 18.4529, 4.4617, 7.2721 Å; angles 90.00, 90.00, 90.00 degrees
With the nearest neighbours (Å) after each atom.
Space group Pnma (No. 62)
Unique sites:
Tb (0.1426, 0.2500, 0.0077) [4 per cell]  8 Sn 3.16-3.42, 4 Rh 3.46-3.47
Sn (0.0334, 0.7500, 0.8698) [4 per cell]  3 Rh 2.70-2.76
Sn (0.0670, 0.2500, 0.4779) [4 per cell]  4 Rh 2.73-2.85
Sn (0.1819, 0.7500, 0.3049) [4 per cell]  4 Rh 2.75-2.81
Sn (0.1938, 0.7500, 0.7286) [4 per cell]  3 Rh 2.71-2.73
Rh (0.0346, 0.7500, 0.2491) [4 per cell]  7 Sn 2.70-2.85
Rh (0.2145, 0.2500, 0.5224) [4 per cell]  7 Sn 2.71-2.81

Summary:
Calculated volume (Å³ per atom): 21.38
Total magnetization (μB per atom): 0.000
Energy relative to the elements (meV per atom): -609
N(E_F) (states/eV/cell): 9.87

***

# 5
Density functional theory data (PBE) for an optimized crystal structure of DyHoBeCo.

Cell lengths 6.7172, 6.7172, 6.7172 Å; angles 90.00, 90.00, 90.00 degrees
With the nearest neighbours (Å) after each atom.
Space group F-43m (No. 216)
Unique sites:
Dy (0.0000, 0.0000, 0.0000) [4 per cell]  4 Co 2.91, 4 Be 2.91
Ho (0.0000, 0.0000, 0.5000) [4 per cell]  4 Be 2.91, 4 Co 2.91
Be (0.2500, 0.2500, 0.2500) [4 per cell]  4 Dy 2.91, 4 Ho 2.91
Co (0.2500, 0.2500, 0.7500) [4 per cell]  4 Ho 2.91, 4 Dy 2.91

Summary:
Calculated volume (Å³ per atom): 18.94
Total magnetization (μB per atom): 0.000
Energy relative to the elements (meV per atom): -39
N(E_F) (states/eV/cell): 10.64

***

# 6
Density functional theory data (PBE) for an optimized crystal structure of TbNdDy2.

Cell lengths 3.5956, 3.5956, 11.5564 Å; angles 90.00, 90.00, 120.00 degrees
With the nearest neighbours (Å) after each atom.
Space group P-3m1 (No. 164)
Unique sites:
Tb (0.0000, 0.0000, 0.0000) [1 per cell]  6 Dy 3.53, 6 Tb 3.60
Nd (0.0000, 0.0000, 0.5000) [1 per cell]  6 Dy 3.58, 6 Nd 3.60
Dy (0.3333, 0.6667, 0.7527) [2 per cell]  3 Tb 3.53, 3 Nd 3.58, 6 Dy 3.60

Summary:
Calculated volume (Å³ per atom): 32.35
Total magnetization (μB per atom): 0.000
Energy relative to the elements (meV per atom): -3
N(E_F) (states/eV/cell): 4.57

***

# 7
Density functional theory data (PBE) for an optimized crystal structure of Ca2Hg2Au.

Cell lengths 7.8967, 7.8967, 4.2321 Å; angles 90.00, 90.00, 90.00 degrees
With the nearest neighbours (Å) after each atom.
Space group P4/mbm (No. 127)
Unique sites:
Ca (0.1725, 0.3275, 0.0000) [4 per cell]  6 Hg 3.04-3.22
Hg (0.1325, 0.6325, 0.5000) [4 per cell]  1 Hg 2.96, 6 Ca 3.04-3.22, 2 Au 3.08
Au (0.0000, 0.0000, 0.5000) [2 per cell]  4 Hg 3.08

Summary:
Calculated volume (Å³ per atom): 26.39
Total magnetization (μB per atom): 0.000
Energy relative to the elements (meV per atom): -479
N(E_F) (states/eV/cell): 4.20

***

# 8
Density functional theory data (PBE) for an optimized crystal structure of CaHf3Cu.

Cell lengths 5.0055, 5.0055, 5.0055 Å; angles 90.00, 90.00, 90.00 degrees
With the nearest neighbours (Å) after each atom.
Space group Pm-3m (No. 221)
Unique sites:
Ca (0.0000, 0.0000, 0.0000) [1 per cell]  12 Hf 3.54
Hf (0.0000, 0.5000, 0.5000) [3 per cell]  2 Cu 2.50
Cu (0.5000, 0.5000, 0.5000) [1 per cell]  6 Hf 2.50

Summary:
Calculated volume (Å³ per atom): 25.08
Total magnetization (μB per atom): 0.000
Energy relative to the elements (meV per atom): 553
N(E_F) (states/eV/cell): 10.54